# 1
VASP calculation (GGA-PBEsol) on a geometry-optimized AgAsBr2 structure.

Results
The space group is I-42d (122). The total energy is -2.802 eV per atom. As for the uncorrected formation energy: 0.238 eV/atom. The value obtained for the spin magnetization is 0.00 Bohr magnetons per cell. The value obtained for the density of states at the Fermi level is 2.16 states/eV/cell.

abc: 4.996 4.996 9.060
angles: 106.00 106.00 90.00
Fractional coordinates of all 8 atoms:
Br 0.625 0.615 0.750
Br 0.865 0.375 0.250
Br 0.125 0.135 0.750
Br 0.385 0.875 0.250
As 0.750 0.250 0.500
As 0.500 0.500 0.000
Ag 0.000 0.000 0.000
Ag 0.250 0.750 0.500


# 2
VASP calculation (GGA-PBEsol) on a geometry-optimized ZnCu2Ni structure.

Results
The space group is Imm2 (44). The total energy is -4.156 eV per atom. The value obtained for the spin magnetization is 0.00 Bohr magnetons per cell. The value obtained for the density of states at the Fermi level is 2.02 states/eV/cell.

abc: 2.843 4.029 4.698
angles: 115.39 107.61 90.00
Fractional coordinates of all 4 atoms:
Zn 0.249 0.749 0.498
Ni 0.501 0.501 0.001
Cu 0.750 0.250 0.500
Cu 0.000 0.000 0.000


# 3
VASP calculation (GGA-PBEsol) on a geometry-optimized Ca3Al2P4 structure.

Results
The space group is C2/c (15). The total energy is -5.200 eV per atom. The value obtained for the spin magnetization is 0.00 Bohr magnetons per cell.

abc: 6.380 7.949 7.949
angles: 75.82 90.67 90.67
Fractional coordinates of all 18 atoms:
Al 0.089 0.579 0.828
Al 0.411 0.172 0.421
Al 0.589 0.828 0.579
Al 0.911 0.421 0.172
P 0.025 0.717 0.059
P 0.975 0.283 0.941
P 0.061 0.257 0.432
P 0.939 0.743 0.568
P 0.525 0.059 0.717
P 0.475 0.941 0.283
P 0.439 0.568 0.743
P 0.561 0.432 0.257
Ca 0.029 0.008 0.751
Ca 0.250 0.598 0.402
Ca 0.471 0.249 0.992
Ca 0.529 0.751 0.008
Ca 0.971 0.992 0.249
Ca 0.750 0.402 0.598


# 4
VASP calculation (GGA-PBEsol) on a geometry-optimized TiB2Mo structure.

Results
The space group is Fm-3m (225). The total energy is -8.499 eV per atom. The value obtained for the spin magnetization is 0.00 Bohr magnetons per cell. The value obtained for the density of states at the Fermi level is 3.07 states/eV/cell.

abc: 3.897 3.897 3.897
angles: 60.00 60.00 60.00
Fractional coordinates of all 4 atoms:
B 0.750 0.750 0.750
B 0.250 0.250 0.250
Mo 0.500 0.500 0.500
Ti 0.000 0.000 0.000


# 5
VASP calculation (GGA-PBEsol) on a geometry-optimized Ni3Rh2 structure.

Results
The space group is R-3m (166). The total energy is -6.875 eV per atom. The value obtained for the spin magnetization is 3.10 Bohr magnetons per cell. The value obtained for the density of states at the Fermi level is 8.53 states/eV/cell.

abc: 2.586 2.586 10.381
angles: 82.85 82.85 60.00
Each line ends with the local moment (μB).
Fractional coordinates of all 5 atoms:
Rh 0.401 0.401 0.797  0.45
Rh 0.599 0.599 0.203  0.45
Ni 0.802 0.802 0.595  0.75
Ni 0.000 0.000 0.000  0.78
Ni 0.198 0.198 0.405  0.75


# 6
VASP calculation (GGA-PBEsol) on a geometry-optimized ZrTa3Fe structure.

Results
The space group is Pm-3m (221). The total energy is -8.862 eV per atom. The value obtained for the spin magnetization is 3.38 Bohr magnetons per cell. The value obtained for the density of states at the Fermi level is 6.36 states/eV/cell.

abc: 4.784 4.784 4.784
angles: 90.00 90.00 90.00
Each line ends with the local moment (μB).
Fractional coordinates of all 5 atoms:
Ta 0.500 0.000 0.000  0.03
Ta 0.000 0.000 0.500  0.03
Ta 0.000 0.500 0.000  0.03
Fe 0.500 0.500 0.500  3.22
Zr 0.000 0.000 0.000  0.04


# 7
VASP calculation (GGA-PBEsol) on a geometry-optimized CuSnPd2 structure.

Results
The space group is Pmmm (47). The total energy is -5.489 eV per atom. The value obtained for the spin magnetization is 0.00 Bohr magnetons per cell. The value obtained for the density of states at the Fermi level is 8.94 states/eV/cell.

abc: 3.925 7.829 7.862
angles: 90.00 90.00 90.00
Fractional coordinates of all 16 atoms:
Cu 0.000 0.000 0.000
Cu 0.500 0.756 0.500
Cu 0.500 0.244 0.500
Cu 0.000 0.500 0.500
Sn 0.000 0.750 0.249
Sn 0.000 0.750 0.751
Sn 0.000 0.250 0.751
Sn 0.000 0.250 0.249
Pd 0.000 0.000 0.500
Pd 0.500 0.752 0.000
Pd 0.000 0.500 0.000
Pd 0.500 0.000 0.748
Pd 0.500 0.500 0.273
Pd 0.500 0.248 0.000
Pd 0.500 0.500 0.727
Pd 0.500 0.000 0.252


# 8
VASP calculation (GGA-PBEsol) on a geometry-optimized YHfSb2Te structure.

Results
The space group is P4/mmm (123). The total energy is -6.077 eV per atom. As for the uncorrected formation energy: -0.084 eV/atom. The value obtained for the spin magnetization is 0.00 Bohr magnetons per cell. The value obtained for the density of states at the Fermi level is 3.35 states/eV/cell.

abc: 5.407 5.407 5.418
angles: 90.00 90.00 90.00
Fractional coordinates of all 5 atoms:
Sb 0.000 0.500 0.000
Sb 0.500 0.000 0.000
Y 0.500 0.500 0.500
Te 0.000 0.000 0.500
Hf 0.000 0.000 0.000